[1]
Cs2LaBeCl6 | the Alexandria database | PBE | relaxed; magnetization = 1.000 μB per formula unit; formation energy without anion corrections = -16.675 eV/f.u.; DOS(E_F) = 0.000 states/eV/atom
1.0
0.000 5.406 5.406
5.406 0.000 5.406
5.406 5.406 0.000
Cs La Be Cl
2 1 1 6
direct
0.250 0.250 0.250 Cs
0.750 0.750 0.750 Cs
0.000 0.000 0.000 La
0.500 0.500 0.500 Be
0.260 0.260 0.740 Cl
0.260 0.740 0.260 Cl
0.260 0.740 0.740 Cl
0.740 0.260 0.260 Cl
0.740 0.260 0.740 Cl
0.740 0.740 0.260 Cl

=====

[2]
ScSnGe | the Alexandria database | PBE | relaxed; magnetization = 0.000 μB per formula unit; total energy = -5.49 eV per atom; DOS(E_F) = 0.436 states/eV/atom
1.0
2.079 -7.658 0.000
2.079 7.658 0.000
0.000 0.000 4.010
Sc Sn Ge
2 2 2
direct
0.092 0.908 0.750 Sc
0.908 0.092 0.250 Sc
0.256 0.744 0.250 Sn
0.744 0.256 0.750 Sn
0.442 0.558 0.750 Ge
0.558 0.442 0.250 Ge

=====

[3]
LiReAu2 | the Alexandria database | PBE | relaxed; magnetization = 0.087 μB per formula unit; total energy = -4.90 eV per atom; DOS(E_F) = 0.785 states/eV/atom
1.0
4.557 -1.340 0.000
4.557 1.340 0.000
-0.547 0.000 5.335
Li Re Au
1 1 2
direct
0.000 0.000 0.000 Li
0.500 0.500 0.500 Re
0.244 0.244 0.751 Au
0.756 0.756 0.249 Au

=====

[4]
LuGa2Pb | the Alexandria database | PBE | relaxed; magnetization = 0.000 μB per formula unit; total energy = -3.76 eV per atom; DOS(E_F) = 0.438 states/eV/atom
1.0
3.697 0.000 0.000
0.000 3.697 0.000
0.000 0.000 6.777
Lu Ga Pb
1 2 1
direct
0.000 0.000 0.000 Lu
0.500 0.500 0.245 Ga
0.500 0.500 0.755 Ga
0.000 0.000 0.500 Pb

=====

[5]
NaLiMn2Tl | the Alexandria database | PBE | relaxed; magnetization = 8.680 μB per formula unit; total energy = -4.05 eV per atom; DOS(E_F) = 0.613 states/eV/atom
1.0
5.227 0.000 0.000
0.000 5.227 0.000
0.000 0.000 5.212
Na Li Mn Tl
1 1 2 1
direct
0.000 0.000 0.000 Na
0.500 0.500 0.000 Li
0.000 0.500 0.500 Mn
0.500 0.000 0.500 Mn
0.500 0.500 0.500 Tl

=====

[6]
CeErScTi | the Alexandria database | PBE | relaxed; magnetization = 1.378 μB per formula unit; total energy = -5.98 eV per atom; DOS(E_F) = 2.003 states/eV/atom
1.0
0.000 3.695 3.695
3.695 0.000 3.695
3.695 3.695 0.000
Ce Er Sc Ti
1 1 1 1
direct
0.000 0.000 0.000 Ce
0.500 0.500 0.500 Er
0.250 0.250 0.250 Sc
0.750 0.750 0.750 Ti

=====

What is the DOS(E_F) in the third record?
0.785 states/eV/atom